# 1
The following is a DFT calculation (PBE-GGA) of a geometry-optimized Cs2Ge2Br7 structure.

Calculated values
ΔE_f (raw) in meV/atom: -986.0
SG: C2/m

abc: 6.645 9.023 9.023
angles: 92.36 95.85 95.85
Sites, in units of the cell vectors:
Br 0.799 0.615 0.615
Br 0.722 0.100 0.399
Br 0.278 0.900 0.601
Br 0.000 0.000 0.000
Cs 0.500 0.723 0.277
Ge 0.058 0.783 0.783
Ge 0.942 0.217 0.217
Cs 0.500 0.277 0.723
Br 0.201 0.385 0.385
Br 0.278 0.601 0.900
Br 0.722 0.399 0.100



# 2
The following is a DFT calculation (PBE-GGA) of a geometry-optimized Cs4GeBr6 structure.

Calculated values
ΔE_f (raw) in meV/atom: -1458.3
SG: P4/mnc

abc: 9.838 9.838 10.325
angles: 90.00 90.00 90.00
Sites, in units of the cell vectors:
Ge 0.500 0.500 0.000
Br 0.000 0.000 0.225
Br 0.217 0.412 0.000
Cs 0.327 0.173 0.250
Cs 0.673 0.827 0.750
Cs 0.327 0.173 0.750
Cs 0.827 0.327 0.250
Cs 0.673 0.827 0.250
Br 0.717 0.088 0.500
Br 0.500 0.500 0.725
Ge 0.000 0.000 0.500
Br 0.000 0.000 0.775
Br 0.500 0.500 0.275
Cs 0.827 0.327 0.750
Cs 0.173 0.673 0.750
Br 0.283 0.912 0.500
Br 0.912 0.717 0.500
Br 0.783 0.588 0.000
Br 0.412 0.783 0.000
Br 0.088 0.283 0.500
Cs 0.173 0.673 0.250
Br 0.588 0.217 0.000



# 3
The following is a DFT calculation (PBE-GGA) of a geometry-optimized Cs2GeBr structure.

Calculated values
ΔE_f (raw) in meV/atom: -507.8
Excess energy over the best structure of this formula in the dataset in meV/atom: 0
SG: Fm-3m

abc: 6.396 6.396 6.396
angles: 60.00 60.00 60.00
Each line ends with the local moment (μB).
Sites, in units of the cell vectors:
Cs 0.250 0.250 0.250  0.06
Ge 0.000 0.000 0.000  0.94
Cs 0.750 0.750 0.750  0.06
Br 0.500 0.500 0.500  0.06



# 4
The following is a DFT calculation (PBE-GGA) of a geometry-optimized CsGeBr3 structure.

Calculated values
ΔE_f (raw) in meV/atom: -1082.5
SG: P2_1/m

abc: 5.905 5.693 12.203
angles: 90.00 103.25 90.00
Sites, in units of the cell vectors:
Ge 0.401 0.750 0.359
Cs 0.153 0.750 0.823
Br 0.323 0.750 0.135
Cs 0.847 0.250 0.177
Br 0.981 0.750 0.366
Br 0.019 0.250 0.634
Br 0.446 0.250 0.371
Br 0.677 0.250 0.865
Br 0.554 0.750 0.629
Ge 0.599 0.250 0.641